[1]
# La12Cu5Sn | Alexandria via LeMat-Bulk | PBE-GGA | relaxed
# N(E_F): 24.07 states/eV/f.u.
# formation enthalpy at 0 K: -17 kJ per mole of atoms
# crystal system: orthorhombic
data_La12Cu5Sn
_cell_length_a 9.4521
_cell_length_b 10.0208
_cell_length_c 11.2778
_cell_angle_alpha 90.00
_cell_angle_beta 90.00
_cell_angle_gamma 90.00
_symmetry_space_group_name_H-M 'I m m m'
_symmetry_Int_Tables_number 71
_symmetry_space_group_name_Hall '-I 2 2'
loop_
_atom_site_label
_atom_site_type_symbol
_atom_site_fract_x
_atom_site_fract_y
_atom_site_fract_z
_atom_site_occupancy
La1 La 0.0000 0.1857 0.2202 1
La2 La 0.1977 0.5000 0.1786 1
La3 La 0.2081 0.3121 0.5000 1
Cu1 Cu 0.0000 0.0000 0.0000 1
Cu2 Cu 0.0000 0.3616 0.0000 1
Cu3 Cu 0.0000 0.5000 0.3842 1
Sn1 Sn 0.0000 0.0000 0.5000 1

[2]
# La2Cu2Sn | Alexandria via LeMat-Bulk | PBE-GGA | relaxed
# N(E_F): 3.08 states/eV/f.u.
# formation enthalpy at 0 K: -24 kJ per mole of atoms
# crystal system: tetragonal
data_La2Cu2Sn
_cell_length_a 3.5906
_cell_length_b 3.5906
_cell_length_c 19.1052
_cell_angle_alpha 90.00
_cell_angle_beta 90.00
_cell_angle_gamma 90.00
_symmetry_space_group_name_H-M 'I 4/m m m'
_symmetry_Int_Tables_number 139
_symmetry_space_group_name_Hall '-I 4 2'
loop_
_atom_site_label
_atom_site_type_symbol
_atom_site_fract_x
_atom_site_fract_y
_atom_site_fract_z
_atom_site_occupancy
La1 La 0.0000 0.0000 0.1175 1
Cu1 Cu 0.0000 0.5000 0.2500 1
Sn1 Sn 0.0000 0.0000 0.5000 1

[3]
# La2CuSn4 | Alexandria via LeMat-Bulk | PBE-GGA | relaxed
# energy above the lowest structure with this stoichiometry: 0.2641 eV/atom
# N(E_F): 3.11 states/eV/f.u.
# formation enthalpy at 0 K: -34 kJ per mole of atoms
# crystal system: tetragonal
data_La2CuSn4
_cell_length_a 5.0779
_cell_length_b 5.0779
_cell_length_c 16.0424
_cell_angle_alpha 90.00
_cell_angle_beta 90.00
_cell_angle_gamma 90.00
_symmetry_space_group_name_H-M 'I 4/m m m'
_symmetry_Int_Tables_number 139
_symmetry_space_group_name_Hall '-I 4 2'
loop_
_atom_site_label
_atom_site_type_symbol
_atom_site_fract_x
_atom_site_fract_y
_atom_site_fract_z
_atom_site_occupancy
La1 La 0.0000 0.0000 0.1389 1
Cu1 Cu 0.0000 0.0000 0.5000 1
Sn1 Sn 0.0000 0.0000 0.3384 1
Sn2 Sn 0.0000 0.5000 0.0000 1

[4]
# La6Cu2Sn | Alexandria via LeMat-Bulk | PBE-GGA | relaxed
# N(E_F): 11.75 states/eV/f.u.
# formation enthalpy at 0 K: -23 kJ per mole of atoms
# crystal system: orthorhombic
data_La6Cu2Sn
_cell_length_a 9.3634
_cell_length_b 10.2977
_cell_length_c 11.3783
_cell_angle_alpha 90.00
_cell_angle_beta 90.00
_cell_angle_gamma 90.00
_symmetry_space_group_name_H-M 'I m m m'
_symmetry_Int_Tables_number 71
_symmetry_space_group_name_Hall '-I 2 2'
loop_
_atom_site_label
_atom_site_type_symbol
_atom_site_fract_x
_atom_site_fract_y
_atom_site_fract_z
_atom_site_occupancy
La1 La 0.0000 0.1953 0.2280 1
La2 La 0.2010 0.5000 0.1811 1
La3 La 0.2069 0.3046 0.5000 1
Cu1 Cu 0.0000 0.3663 0.0000 1
Cu2 Cu 0.0000 0.5000 0.3859 1
Sn1 Sn 0.0000 0.0000 0.0000 1
Sn2 Sn 0.0000 0.0000 0.5000 1

[5]
# LaCu3Sn3 | Alexandria via LeMat-Bulk | PBE-GGA | relaxed
# energy above the lowest structure with this stoichiometry: 0.1738 eV/atom
# N(E_F): 4.43 states/eV/f.u.
# formation enthalpy at 0 K: 6 kJ per mole of atoms
# crystal system: cubic
data_LaCu3Sn3
_cell_length_a 7.0891
_cell_length_b 7.0891
_cell_length_c 7.0891
_cell_angle_alpha 90.00
_cell_angle_beta 90.00
_cell_angle_gamma 90.00
_symmetry_space_group_name_H-M 'P m -3 n'
_symmetry_Int_Tables_number 223
_symmetry_space_group_name_Hall '-P 4n 2 3'
loop_
_atom_site_label
_atom_site_type_symbol
_atom_site_fract_x
_atom_site_fract_y
_atom_site_fract_z
_atom_site_occupancy
La1 La 0.0000 0.0000 0.0000 1
Cu1 Cu 0.0000 0.2500 0.5000 1
Sn1 Sn 0.0000 0.5000 0.2500 1

[6]
# La3CuSn3 | Alexandria via LeMat-Bulk | PBE-GGA | relaxed
# N(E_F): 5.08 states/eV/f.u.
# formation enthalpy at 0 K: -68 kJ per mole of atoms
# crystal system: monoclinic
data_La3CuSn3
_cell_length_a 11.7826
_cell_length_b 4.6974
_cell_length_c 15.5393
_cell_angle_alpha 90.00
_cell_angle_beta 110.06
_cell_angle_gamma 90.00
_symmetry_space_group_name_H-M 'C 1 2/m 1'
_symmetry_Int_Tables_number 12
loop_
_symmetry_equiv_pos_as_xyz
'x,y,z'
'-x,-y,-z'
'-x,y,-z'
'x,-y,z'
'x+1/2,y+1/2,z'
'-x+1/2,-y+1/2,-z'
'-x+1/2,y+1/2,-z'
'x+1/2,-y+1/2,z'
loop_
_atom_site_label
_atom_site_type_symbol
_atom_site_fract_x
_atom_site_fract_y
_atom_site_fract_z
_atom_site_occupancy
La1 La 0.0331 0.0000 0.3864 1
La2 La 0.0958 0.0000 0.9197 1
La3 La 0.2452 0.0000 0.2312 1
Cu1 Cu 0.2359 0.5000 0.3948 1
Sn1 Sn 0.0368 0.5000 0.2389 1
Sn2 Sn 0.1261 0.5000 0.0764 1
Sn3 Sn 0.1489 0.5000 0.5443 1

[7]
# La7Cu2Sn2 | Alexandria via LeMat-Bulk | PBE-GGA | relaxed
# N(E_F): 11.18 states/eV/f.u.
# formation enthalpy at 0 K: -20 kJ per mole of atoms
# crystal system: orthorhombic
data_La7Cu2Sn2
_cell_length_a 8.3928
_cell_length_b 11.8016
_cell_length_c 7.1387
_cell_angle_alpha 90.00
_cell_angle_beta 90.00
_cell_angle_gamma 90.00
_symmetry_space_group_name_H-M 'C m m m'
_symmetry_Int_Tables_number 65
_symmetry_space_group_name_Hall '-C 2 2'
loop_
_atom_site_label
_atom_site_type_symbol
_atom_site_fract_x
_atom_site_fract_y
_atom_site_fract_z
_atom_site_occupancy
La1 La 0.0000 0.0000 0.0000 1
La2 La 0.0000 0.5000 0.2242 1
La3 La 0.2500 0.2500 0.2723 1
Cu1 Cu 0.0000 0.2799 0.0000 1
Sn1 Sn 0.1749 0.0000 0.5000 1

[8]
# La6CuSn2 | Alexandria via LeMat-Bulk | PBE-GGA | relaxed
# N(E_F): 10.33 states/eV/f.u.
# formation enthalpy at 0 K: -43 kJ per mole of atoms
# crystal system: hexagonal
data_La6CuSn2
_cell_length_a 8.4401
_cell_length_b 8.4401
_cell_length_c 4.6137
_cell_angle_alpha 90.00
_cell_angle_beta 90.00
_cell_angle_gamma 120.00
_symmetry_space_group_name_H-M 'P -6 2 m'
_symmetry_Int_Tables_number 189
_symmetry_space_group_name_Hall 'P -6 -2'
loop_
_atom_site_label
_atom_site_type_symbol
_atom_site_fract_x
_atom_site_fract_y
_atom_site_fract_z
_atom_site_occupancy
La1 La 0.0000 0.2241 0.0000 1
La2 La 0.0000 0.5657 0.5000 1
Cu1 Cu 0.0000 0.0000 0.5000 1
Sn1 Sn 0.3333 0.6667 0.0000 1